# LaBe2P PBE relaxed
# Size of the total moment = 0.00 μB/f.u.
# Energy of formation from the pure elements = 0.141 eV per atom
# Total DFT energy (no corrections) = -4.3069 eV per atom
data_LaBe2P
_cell_length_a 4.098
_cell_length_b 4.098
_cell_length_c 4.279
_cell_angle_alpha 90.00
_cell_angle_beta 90.00
_cell_angle_gamma 90.00
_symmetry_space_group_name_H-M 'P 4/m m m'
_symmetry_Int_Tables_number 123
_symmetry_space_group_name_Hall '-P 4 2'
loop_
_atom_site_label
_atom_site_type_symbol
_atom_site_fract_x
_atom_site_fract_y
_atom_site_fract_z
La1 La 0.000 0.000 0.000
Be1 Be 0.000 0.500 0.500
P1 P 0.500 0.500 0.000

=====

# BHRh4 PBE relaxed
# Polymorph energy (0 for the lowest one) = 10 meV per atom
# Size of the total moment = 0.00 μB/f.u.
# Total DFT energy (no corrections) = -6.6428 eV per atom
data_BHRh4
_cell_length_a 5.755
_cell_length_b 5.811
_cell_length_c 8.040
_cell_angle_alpha 90.00
_cell_angle_beta 90.00
_cell_angle_gamma 90.00
_symmetry_space_group_name_H-M 'I m m a'
_symmetry_Int_Tables_number 74
_symmetry_space_group_name_Hall '-I 2b 2'
loop_
_atom_site_label
_atom_site_type_symbol
_atom_site_fract_x
_atom_site_fract_y
_atom_site_fract_z
B1 B 0.000 0.000 0.000
H1 H 0.250 0.250 0.250
Rh1 Rh 0.000 0.004 0.743
Rh2 Rh 0.238 0.250 0.501

=====

# DyMgAlS4 PBE relaxed
# Size of the total moment = 0.00 μB/f.u.
# Energy relative to the elements, uncorrected = -1.480 eV/atom
# Total DFT energy (no corrections) = -5.2583 eV per atom
data_DyMgAlS4
_cell_length_a 7.550
_cell_length_b 7.572
_cell_length_c 10.658
_cell_angle_alpha 90.00
_cell_angle_beta 90.00
_cell_angle_gamma 90.00
_symmetry_space_group_name_H-M 'I m m a'
_symmetry_Int_Tables_number 74
_symmetry_space_group_name_Hall '-I 2b 2'
loop_
_atom_site_label
_atom_site_type_symbol
_atom_site_fract_x
_atom_site_fract_y
_atom_site_fract_z
Dy1 Dy 0.000 0.000 0.000
Mg1 Mg 0.250 0.250 0.250
Al1 Al 0.000 0.250 0.630
S1 S 0.000 0.007 0.255
S2 S 0.243 0.250 0.498

=====

# AcDy2Hg PBE relaxed
# Polymorph energy (0 for the lowest one) = 0 meV per atom
# Size of the total moment = 0.00 μB/f.u.
# Energy of formation from the pure elements = -0.204 eV per atom
# Total DFT energy (no corrections) = -3.6072 eV per atom
data_AcDy2Hg
_cell_length_a 3.754
_cell_length_b 3.754
_cell_length_c 8.992
_cell_angle_alpha 90.00
_cell_angle_beta 90.00
_cell_angle_gamma 90.00
_symmetry_space_group_name_H-M 'P 4/m m m'
_symmetry_Int_Tables_number 123
_symmetry_space_group_name_Hall '-P 4 2'
loop_
_atom_site_label
_atom_site_type_symbol
_atom_site_fract_x
_atom_site_fract_y
_atom_site_fract_z
Ac1 Ac 0.000 0.000 0.000
Dy1 Dy 0.500 0.500 0.297
Hg1 Hg 0.000 0.000 0.500